1.
A relaxed structure of Tl3HgF. Source: Alexandria via LeMat-Bulk, functional GGA-PBE.

## Properties
The energy relative to the lowest polymorph listed for this composition is 0 meV/atom. The uncorrected formation energy is -0.57 eV/atom. The symmetry is Pm-3m.

a = 5.297 Å, b = 5.297 Å, c = 5.297 Å
α = 90.00°, β = 90.00°, γ = 90.00°
Fractional positions:
Tl: 0.000 0.000 0.500
Tl: 0.000 0.500 0.000
Tl: 0.500 0.000 0.000
Hg: 0.500 0.500 0.500
F: 0.000 0.000 0.000

***

2.
A relaxed structure of Tl2HgF4. Source: Alexandria via LeMat-Bulk, functional GGA-PBE.

## Properties
The energy relative to the lowest polymorph listed for this composition is 33 meV/atom. The uncorrected formation energy is -1.59 eV/atom. The symmetry is P2_1/m.

a = 5.443 Å, b = 6.860 Å, c = 8.167 Å
α = 90.00°, β = 106.35°, γ = 90.00°
Fractional positions:
Tl: 0.116 0.250 0.034
Tl: 0.251 0.750 0.514
Tl: 0.749 0.250 0.486
Tl: 0.884 0.750 0.966
Hg: 0.433 0.250 0.840
Hg: 0.567 0.750 0.160
F: 0.202 0.750 0.858
F: 0.238 0.542 0.196
F: 0.238 0.958 0.196
F: 0.278 0.250 0.555
F: 0.722 0.750 0.445
F: 0.762 0.042 0.804
F: 0.762 0.458 0.804
F: 0.798 0.250 0.142